{"formula": "Np5Se6", "functional": "GGA-PBE", "state": "optimized geometry", "cell": [[3.524, -6.106, 0.000], [3.524, 6.106, 0.000], [-2.355, 0.000, 6.710]], "species": ["Np", "Np", "Np", "Np", "Np", "Se", "Se", "Se", "Se", "Se", "Se"], "fractional_positions": [[0.000, 0.000, 0.000], [0.166, 0.834, 0.500], [0.333, 0.667, 0.000], [0.667, 0.333, 0.000], [0.834, 0.166, 0.500], [0.089, 0.418, 0.254], [0.253, 0.253, 0.747], [0.418, 0.089, 0.254], [0.582, 0.911, 0.746], [0.747, 0.747, 0.253], [0.911, 0.582, 0.746]], "n_ef_per_ev_atom": 4.758}

{"formula": "Np3Se5", "functional": "GGA-PBE", "state": "optimized geometry", "cell": [[3.345, -7.759, 0.000], [3.345, 7.759, 0.000], [-1.884, 0.000, 7.539]], "species": ["Np", "Np", "Np", "Np", "Np", "Np", "Se", "Se", "Se", "Se", "Se", "Se", "Se", "Se", "Se", "Se"], "fractional_positions": [[0.155, 0.845, 0.000], [0.248, 0.752, 0.500], [0.434, 0.434, 0.701], [0.566, 0.566, 0.299], [0.752, 0.248, 0.500], [0.845, 0.155, 0.000], [0.117, 0.329, 0.378], [0.139, 0.515, 0.800], [0.237, 0.237, 0.981], [0.329, 0.117, 0.378], [0.485, 0.861, 0.200], [0.515, 0.139, 0.800], [0.671, 0.883, 0.622], [0.763, 0.763, 0.019], [0.861, 0.485, 0.200], [0.883, 0.671, 0.622]], "n_ef_per_ev_atom": 3.418}

{"formula": "Np3Se5", "functional": "GGA-PBE", "state": "optimized geometry", "cell": [[8.223, 0.000, 0.000], [-4.112, 7.122, 0.000], [0.000, 0.000, 6.472]], "species": ["Np", "Np", "Np", "Np", "Np", "Np", "Se", "Se", "Se", "Se", "Se", "Se", "Se", "Se", "Se", "Se"], "fractional_positions": [[0.000, 0.392, 0.250], [0.000, 0.608, 0.750], [0.392, 0.000, 0.250], [0.392, 0.392, 0.750], [0.608, 0.000, 0.750], [0.608, 0.608, 0.250], [0.000, 0.251, 0.750], [0.000, 0.749, 0.250], [0.251, 0.000, 0.750], [0.251, 0.251, 0.250], [0.333, 0.667, 0.000], [0.333, 0.667, 0.500], [0.667, 0.333, 0.000], [0.667, 0.333, 0.500], [0.749, 0.000, 0.250], [0.749, 0.749, 0.750]], "n_ef_per_ev_atom": 2.758}

{"formula": "Np5Se8", "functional": "GGA-PBE", "state": "optimized geometry", "cell": [[6.871, -4.180, 0.000], [6.871, 4.180, 0.000], [-6.673, 0.000, 7.192]], "species": ["Np", "Np", "Np", "Np", "Np", "Se", "Se", "Se", "Se", "Se", "Se", "Se", "Se"], "fractional_positions": [[0.000, 0.000, 0.000], [0.256, 0.744, 0.500], [0.277, 0.277, 0.004], [0.723, 0.723, 0.996], [0.744, 0.256, 0.500], [0.009, 0.553, 0.831], [0.010, 0.010, 0.310], [0.447, 0.991, 0.169], [0.459, 0.459, 0.657], [0.541, 0.541, 0.343], [0.553, 0.009, 0.831], [0.990, 0.990, 0.690], [0.991, 0.447, 0.169]], "n_ef_per_ev_atom": 3.552}

{"formula": "Np3Se5", "functional": "GGA-PBE", "state": "optimized geometry", "cell": [[12.081, 0.000, 0.000], [0.000, 8.258, 0.000], [0.000, 0.000, 7.689]], "species": ["Np", "Np", "Np", "Np", "Np", "Np", "Np", "Np", "Np", "Np", "Np", "Np", "Se", "Se", "Se", "Se", "Se", "Se", "Se", "Se", "Se", "Se", "Se", "Se", "Se", "Se", "Se", "Se", "Se", "Se", "Se", "Se"], "fractional_positions": [[0.009, 0.250, 0.080], [0.180, 0.002, 0.519], [0.180, 0.498, 0.519], [0.320, 0.502, 0.019], [0.320, 0.998, 0.019], [0.491, 0.750, 0.580], [0.509, 0.250, 0.420], [0.680, 0.002, 0.981], [0.680, 0.498, 0.981], [0.820, 0.502, 0.481], [0.820, 0.998, 0.481], [0.991, 0.750, 0.920], [0.000, 0.250, 0.465], [0.000, 0.750, 0.535], [0.097, 0.549, 0.168], [0.097, 0.951, 0.168], [0.186, 0.250, 0.828], [0.219, 0.750, 0.795], [0.281, 0.250, 0.295], [0.314, 0.750, 0.328], [0.403, 0.049, 0.668], [0.403, 0.451, 0.668], [0.500, 0.250, 0.035], [0.500, 0.750, 0.965], [0.597, 0.549, 0.332], [0.597, 0.951, 0.332], [0.686, 0.250, 0.672], [0.719, 0.750, 0.705], [0.781, 0.250, 0.205], [0.814, 0.750, 0.172], [0.903, 0.049, 0.832], [0.903, 0.451, 0.832]], "n_ef_per_ev_atom": 3.583}

{"formula": "NpSe2", "functional": "GGA-PBE", "state": "optimized geometry", "cell": [[4.617, 0.000, 0.000], [0.000, 4.617, 0.000], [0.000, 0.000, 3.650]], "species": ["Np", "Se", "Se"], "fractional_positions": [[0.000, 0.000, 0.000], [0.000, 0.500, 0.500], [0.500, 0.000, 0.500]], "n_ef_per_ev_atom": 3.278}

{"formula": "Np3SiSe6", "functional": "GGA-PBE", "state": "optimized geometry", "cell": [[5.551, -6.857, 0.000], [5.551, 6.857, 0.000], [0.000, 0.000, 7.075]], "species": ["Np", "Np", "Np", "Np", "Np", "Np", "Si", "Si", "Se", "Se", "Se", "Se", "Se", "Se", "Se", "Se", "Se", "Se", "Se", "Se"], "fractional_positions": [[0.105, 0.895, 0.500], [0.219, 0.420, 0.587], [0.420, 0.219, 0.087], [0.580, 0.781, 0.587], [0.781, 0.580, 0.087], [0.895, 0.105, 0.000], [0.323, 0.677, 0.138], [0.677, 0.323, 0.638], [0.075, 0.595, 0.297], [0.134, 0.191, 0.294], [0.191, 0.134, 0.794], [0.273, 0.727, 0.746], [0.405, 0.925, 0.297], [0.481, 0.519, 0.331], [0.519, 0.481, 0.831], [0.595, 0.075, 0.797], [0.727, 0.273, 0.246], [0.809, 0.866, 0.294], [0.866, 0.809, 0.794], [0.925, 0.405, 0.797]], "n_ef_per_ev_atom": 2.891}

{"formula": "Sm3NpSe6", "functional": "GGA-PBE", "state": "optimized geometry", "cell": [[3.686, 2.128, 6.607], [-3.686, 2.128, 6.607], [0.000, -4.256, 6.607]], "species": ["Sm", "Sm", "Sm", "Np", "Se", "Se", "Se", "Se", "Se", "Se"], "fractional_positions": [[0.000, 0.000, 0.000], [0.199, 0.199, 0.199], [0.500, 0.500, 0.500], [0.698, 0.698, 0.698], [0.097, 0.403, 0.799], [0.298, 0.900, 0.600], [0.403, 0.799, 0.097], [0.600, 0.298, 0.900], [0.799, 0.097, 0.403], [0.900, 0.600, 0.298]], "n_ef_per_ev_atom": 0.561}

| no. | raw formation energy (eV/atom) |
| --- | --- |
| 1 | -1.06 |
| 2 | -1.08 |
| 3 | -1.10 |
| 4 | -1.07 |
| 5 | -1.17 |
| 6 | -0.86 |
| 7 | -0.85 |
| 8 | -1.64 |